## Al2InAg (PBE)

Data for Al2InAg after structural relaxation.

abc: 4.429 4.429 5.564
angles: 66.55 66.55 60.00
Fractional positions:
Al 0.062 0.062 0.814
Al 0.271 0.271 0.187
In 0.488 0.488 0.535
Ag 0.678 0.678 0.965

**DFT total energy**: -3.16 eV/atom
**Calculated volume**: 83.95 Å³/cell
**Crystal system**: trigonal